1.
## TeOs3Ru (PBE)

Data for a relaxed structure of TeOs3Ru.

Unit cell a=4.6958 b=4.6958 c=4.6958 alpha=90.00 beta=90.00 gamma=90.00
Closest atoms and distances in Å follow each position.
Space group Pm-3m (No. 221)
One atom of each set of equivalent atoms:
1 Te 0.0000 0.0000 0.0000 [1 per cell]  12 Os 3.32
2 Os 0.0000 0.5000 0.5000 [3 per cell]  2 Ru 2.35
3 Ru 0.5000 0.5000 0.5000 [1 per cell]  6 Os 2.35

Calculated values
Relative energy among the computed polymorphs ... 0 meV per atom
E_form (uncorrected) ... 2202 meV per atom
Energy ... -35.1 eV for the cell shown
D(E_F) ... 7.91 states/eV per cell

2.
## Ca5Cu2N4 (PBE)

Data for a relaxed structure of Ca5Cu2N4.

Unit cell a=8.0084 b=8.0084 c=12.4183 alpha=90.00 beta=90.00 gamma=90.00
Closest atoms and distances in Å follow each position.
Space group P4/ncc (No. 130, origin choice 2)
One atom of each set of equivalent atoms:
1 Ca 0.0775 0.6332 0.0897 [16 per cell]  4 N 2.39-2.57
2 Ca 0.2500 0.2500 0.1377 [4 per cell]  4 N 2.61
3 Cu 0.0925 0.5925 0.7500 [8 per cell]  2 N 1.87
4 N 0.0517 0.6368 0.8955 [16 per cell]  1 Cu 1.87

Calculated values
E_form (uncorrected) ... -668 meV per atom
Energy ... -235.4 eV for the cell shown
D(E_F) ... 7.59 states/eV per cell